Entry 1:
First-principles (PBEsol) data for a geometry-optimized AgSI2 structure, as listed in Alexandria.

Output
ΔE_f (raw)	0.391	eV per atom
crystal system	tetragonal
D(E_F)	7.07	states/eV per cell
total DFT energy (no corrections)	-2.42	eV per atom
volume	125.1	Å³/f.u.

```
data_AgSI2
_chemical_formula_sum 'Ag4 S4 I8'
_cell_length_a 5.520
_cell_length_b 5.520
_cell_length_c 16.423
_cell_angle_alpha 90.00
_cell_angle_beta 90.00
_cell_angle_gamma 90.00
_space_group_name_H-M_alt 'I -4 2 d'
_space_group_IT_number 122
_space_group_name_Hall 'I -4 2bw'
loop_
_atom_site_label
_atom_site_type_symbol
_atom_site_fract_x
_atom_site_fract_y
_atom_site_fract_z
Ag1 Ag 0.000 0.000 0.000
S1 S 0.000 0.000 0.500
I1 I 0.232 0.250 0.625
```

=====

Entry 2:
First-principles (PBEsol) data for a geometry-optimized GaGeAs2Br structure, as listed in Alexandria.

Output
ΔE_f (raw)	0.570	eV per atom
crystal system	tetragonal
D(E_F)	4.52	states/eV per cell
total DFT energy (no corrections)	-3.50	eV per atom
volume	118.6	Å³/f.u.

```
data_GaGeAs2Br
_chemical_formula_sum 'Ga1 Ge1 As2 Br1'
_cell_length_a 4.864
_cell_length_b 4.864
_cell_length_c 5.012
_cell_angle_alpha 90.00
_cell_angle_beta 90.00
_cell_angle_gamma 90.00
_space_group_name_H-M_alt 'P 4/m m m'
_space_group_IT_number 123
_space_group_name_Hall '-P 4 2'
loop_
_atom_site_label
_atom_site_type_symbol
_atom_site_fract_x
_atom_site_fract_y
_atom_site_fract_z
Ga1 Ga 0.000 0.000 0.000
Ge1 Ge 0.500 0.500 0.500
As1 As 0.000 0.500 0.000
Br1 Br 0.000 0.000 0.500
```

=====

- What is the D(E_F) in the second record?
  4.52 states/eV per cell

=====

- Number 1 is which compound?
  AgSI2

=====

- The lowest D(E_F) belongs to which entry?
  GaGeAs2Br

=====

Repeat the first record exactly.
First-principles (PBEsol) data for a geometry-optimized AgSI2 structure, as listed in Alexandria.

Output
ΔE_f (raw)	0.391	eV per atom
crystal system	tetragonal
D(E_F)	7.07	states/eV per cell
total DFT energy (no corrections)	-2.42	eV per atom
volume	125.1	Å³/f.u.

```
data_AgSI2
_chemical_formula_sum 'Ag4 S4 I8'
_cell_length_a 5.520
_cell_length_b 5.520
_cell_length_c 16.423
_cell_angle_alpha 90.00
_cell_angle_beta 90.00
_cell_angle_gamma 90.00
_space_group_name_H-M_alt 'I -4 2 d'
_space_group_IT_number 122
_space_group_name_Hall 'I -4 2bw'
loop_
_atom_site_label
_atom_site_type_symbol
_atom_site_fract_x
_atom_site_fract_y
_atom_site_fract_z
Ag1 Ag 0.000 0.000 0.000
S1 S 0.000 0.000 0.500
I1 I 0.232 0.250 0.625
```